Entry 1:
The following is a DFT calculation (PBE) of a geometry-optimized La2SiOsW structure.

Its space-group type is P4/mmm. The value obtained for the density is 8.32 Mg/m³. The uncorrected formation energy is 1065 meV per atom. The volume is 136 Å³ per cell. The total DFT energy (no corrections) is -6.827 eV per atom.

Cell lengths 5.4801, 4.5168, 5.4801 Å; angles 90.00, 90.00, 90.00 degrees
Last column: nearest neighbours and their distance in Å.
Fractional coordinates of all 5 atoms:
1 Os 0.5000 0.5000 0.5000  8 La 3.55, 4 W 3.88
2 Si 0.0000 0.0000 0.0000  2 W 2.26
3 La 0.5000 0.0000 0.0000  2 Si 2.74
4 La 0.0000 0.0000 0.5000  2 Si 2.74
5 W 0.0000 0.5000 0.0000  2 Si 2.26

***

Entry 2:
The following is a DFT calculation (PBE) of a geometry-optimized Hf2Zn7 structure.

Its space-group type is R-3m. The value obtained for the density is 9.39 Mg/m³. The volume is 288 Å³ per cell. The total DFT energy (no corrections) is -3.319 eV per atom. The value obtained for the formation enthalpy at 0 K is -0.117 eV/atom.

Cell lengths 5.2021, 5.2021, 12.6596 Å; angles 78.14, 78.14, 60.00 degrees
Last column: nearest neighbours and their distance in Å.
Fractional coordinates of all 18 atoms:
1 Zn 0.3844 0.3844 0.3361  7 Zn 2.53-2.66
2 Hf 0.0539 0.0539 0.8382  12 Zn 3.00-3.28
3 Hf 0.1506 0.1506 0.5483  12 Zn 2.96-3.06, 3 Hf 3.23
4 Zn 0.5000 0.0000 0.0000  8 Zn 2.53-2.60
5 Zn 0.3898 0.3898 0.8306  6 Zn 2.56-2.57
6 Zn 0.5000 0.5000 0.5000  6 Zn 2.53
7 Zn 0.2780 0.2780 0.1659  6 Zn 2.53-2.56
8 Zn 0.0000 0.5000 0.0000  8 Zn 2.53-2.60
9 Hf 0.8494 0.8494 0.4517  12 Zn 2.96-3.06, 3 Hf 3.23
10 Hf 0.9461 0.9461 0.1618  12 Zn 3.00-3.28
11 Zn 0.8952 0.3844 0.3361  7 Zn 2.53-2.66
12 Zn 0.6102 0.6102 0.1694  6 Zn 2.56-2.57
13 Zn 0.1048 0.6156 0.6639  7 Zn 2.53-2.66
14 Zn 0.3844 0.8952 0.3361  7 Zn 2.53-2.66
15 Zn 0.6156 0.6156 0.6639  7 Zn 2.53-2.66
16 Zn 0.5000 0.5000 0.0000  8 Zn 2.53-2.60
17 Zn 0.6156 0.1048 0.6639  7 Zn 2.53-2.66
18 Zn 0.7220 0.7220 0.8341  6 Zn 2.53-2.56

***

Entry 3:
The following is a DFT calculation (PBE) of a geometry-optimized Er3Al8Cu3 structure.

Its space-group type is C2/m. The value obtained for the density is 6.03 Mg/m³. The volume is 250 Å³ per cell. The total DFT energy (no corrections) is -4.395 eV per atom. The value obtained for the formation enthalpy at 0 K is -0.400 eV/atom.

Cell lengths 4.2702, 8.1020, 8.0591 Å; angles 71.64, 74.64, 74.72 degrees
Last column: nearest neighbours and their distance in Å.
Fractional coordinates of all 14 atoms:
1 Al 0.1391 0.1454 0.5764  5 Al 2.66-2.77, 1 Cu 2.68
2 Cu 0.3471 0.2946 0.0111  5 Al 2.46-2.60
3 Al 0.1466 0.5758 0.1310  4 Cu 2.49-2.77
4 Cu 0.0000 0.5000 0.5000  8 Al 2.68-2.77
5 Al 0.5018 0.6825 0.3139  3 Cu 2.48-2.76, 3 Al 2.69-2.77
6 Cu 0.6529 0.7054 0.9889  5 Al 2.46-2.60
7 Al 0.3472 0.0349 0.2708  1 Cu 2.46, 4 Al 2.66-2.73
8 Er 0.2955 0.6997 0.7094  10 Al 3.01-3.36, 4 Cu 3.05-3.31
9 Er 0.7045 0.3003 0.2906  10 Al 3.01-3.36, 4 Cu 3.05-3.31
10 Al 0.8534 0.4242 0.8690  4 Cu 2.49-2.77
11 Al 0.4982 0.3175 0.6861  3 Cu 2.48-2.76, 3 Al 2.69-2.77
12 Al 0.6528 0.9651 0.7292  1 Cu 2.46, 4 Al 2.66-2.73
13 Al 0.8609 0.8546 0.4236  5 Al 2.66-2.77, 1 Cu 2.68
14 Er 0.0000 0.0000 0.0000  8 Al 3.06-3.20, 4 Cu 3.16

***

Entry 4:
The following is a DFT calculation (PBE) of a geometry-optimized RbSn3Rh structure.

Its space-group type is Pm-3m. The value obtained for the density is 4.58 Mg/m³. The volume is 198 Å³ per cell. As for the offset from the most stable computed form: 1.927 eV/atom. The total DFT energy (no corrections) is -2.146 eV per atom. The value obtained for the formation enthalpy at 0 K is 1.919 eV/atom.

Cell lengths 5.8247, 5.8247, 5.8247 Å; angles 90.00, 90.00, 90.00 degrees
Last column: nearest neighbours and their distance in Å.
Fractional coordinates of all 5 atoms:
1 Sn 0.0000 0.0000 0.5000  2 Rb 2.91
2 Rh 0.5000 0.5000 0.5000  12 Sn 4.12
3 Sn 0.0000 0.5000 0.0000  2 Rb 2.91
4 Rb 0.0000 0.0000 0.0000  6 Sn 2.91
5 Sn 0.5000 0.0000 0.0000  2 Rb 2.91